Record 1
KZn2Si (PBE, relaxed); energy relative to the elements, uncorrected = 186 meV/atom
1.0
2.9437 0.0000 0.0000
0.0000 4.1560 0.0000
-1.4498 0.0000 7.2086
K Zn Si
1 2 1
Cartesian
0.0000 0.0000 0.0000 K
0.0204 2.0780 4.5342 Zn
1.4925 0.0000 3.6453 Zn
1.4826 2.0780 2.2528 Si

Record 2
AlTlCo2 (PBE, relaxed); distance to the lowest polymorph of the same formula = 0.086 eV per atom
1.0
0.0000 3.0404 3.0404
3.0404 0.0000 3.0404
3.0404 3.0404 0.0000
Al Tl Co
1 1 2
Cartesian
0.0000 0.0000 0.0000 Al
3.0404 3.0404 3.0404 Tl
1.5202 1.5202 1.5202 Co
4.5605 4.5605 4.5605 Co

Record 3
CrH2Rh3 (PBE, relaxed); VASP energy = -6.41 eV per atom
1.0
5.0875 -1.3821 0.0000
5.0875 1.3821 0.0000
-4.6050 0.0000 8.3543
Cr H Rh
2 4 6
Cartesian
0.1444 0.0000 1.8700 Cr
5.4255 0.0000 6.4842 Cr
1.9465 0.0000 1.0964 H
-0.2776 0.0000 5.3180 H
5.8475 0.0000 3.0363 H
3.6234 0.0000 7.2579 H
-2.0744 0.0000 6.0761 Rh
1.4004 0.0000 4.4265 Rh
3.8194 0.0000 0.2058 Rh
1.7505 0.0000 8.1485 Rh
4.1696 0.0000 3.9277 Rh
7.6443 0.0000 2.2781 Rh

Record 4
LaTbAl2 (PBE, relaxed); distance to the lowest polymorph of the same formula = 0.008 eV per atom
1.0
0.0000 3.7095 3.7095
3.7095 0.0000 3.7095
3.7095 3.7095 0.0000
La Tb Al
1 1 2
Cartesian
0.0000 0.0000 0.0000 La
3.7095 3.7095 3.7095 Tb
1.8548 1.8548 1.8548 Al
5.5643 5.5643 5.5643 Al

Record 5
Sb2WCl (PBE, relaxed); energy relative to the elements, uncorrected = 464 meV/atom; distance to the lowest polymorph of the same formula = 0.296 eV per atom
1.0
4.0265 -3.8417 0.0000
4.0265 3.8417 0.0000
-1.1626 0.0000 2.8466
Sb W Cl
2 1 1
Cartesian
2.0132 1.9209 0.0000 Sb
2.0132 -1.9209 0.0000 Sb
0.0000 0.0000 0.0000 W
4.0265 0.0000 0.0000 Cl

Record 6
InSe2I (PBE, relaxed); energy relative to the elements, uncorrected = 318 meV/atom; distance to the lowest polymorph of the same formula = 0.598 eV per atom
1.0
0.0000 3.6914 3.6914
3.6914 0.0000 3.6914
3.6914 3.6914 0.0000
In Se I
1 2 1
Cartesian
0.0000 0.0000 0.0000 In
1.8457 1.8457 1.8457 Se
5.5372 5.5372 5.5372 Se
3.6914 3.6914 3.6914 I

Record 7
Ca2FeCl (PBE, relaxed); energy relative to the elements, uncorrected = -165 meV/atom; distance to the lowest polymorph of the same formula = 0.314 eV per atom
1.0
-3.8259 3.8259 3.8296
3.8259 -3.8259 3.8296
3.8259 3.8259 -3.8296
Ca Fe Cl
4 2 2
Cartesian
5.7389 1.7784 -0.9574 Ca
1.7784 1.9130 0.9574 Ca
-1.9130 2.0475 2.8722 Ca
2.0475 1.9130 4.7871 Ca
3.8259 0.0000 1.9148 Fe
0.0000 0.0000 3.8296 Fe
0.0000 0.0000 0.0000 Cl
0.0000 3.8259 1.9148 Cl

Record 8
YTl2Ga (PBE, relaxed); distance to the lowest polymorph of the same formula = 0.000 eV per atom
1.0
4.5986 0.0000 0.0000
0.0000 4.5986 0.0000
0.0000 0.0000 4.6921
Y Tl Ga
1 2 1
Cartesian
0.0000 0.0000 0.0000 Y
0.0000 2.2993 2.3460 Tl
2.2993 0.0000 2.3460 Tl
2.2993 2.2993 0.0000 Ga

Number 1: ρ 3.73 g cm⁻³, density of states at the Fermi level 0.439 states/eV/atom. Number 2: ρ 10.32 g cm⁻³, density of states at the Fermi level 0.642 states/eV/atom. Number 3: ρ 10.25 g cm⁻³, density of states at the Fermi level 1.063 states/eV/atom. Number 4: ρ 5.72 g cm⁻³, density of states at the Fermi level 0.305 states/eV/atom. Number 5: ρ 8.73 g cm⁻³, density of states at the Fermi level 0.456 states/eV/atom. Number 6: ρ 6.60 g cm⁻³, density of states at the Fermi level 0.856 states/eV/atom. Number 7: ρ 2.54 g cm⁻³, density of states at the Fermi level 1.917 states/eV/atom. Number 8: ρ 9.50 g cm⁻³, density of states at the Fermi level 0.358 states/eV/atom.